(1)
Compound: KBaCr4
Source: the Alexandria database
Functional: PBE-GGA
Structure: optimized geometry

* total moment: 18.344 μB per formula unit
* total energy: -5.746 eV per atom
* formation energy from the elements: 1.1730 eV/atom
* space group: F-43m

```
KBaCr4
1.0
0.0000 4.3703 4.3703
4.3703 0.0000 4.3703
4.3703 4.3703 0.0000
K Ba Cr
1 1 4
Direct
0.0000 0.0000 0.0000
0.7500 0.7500 0.7500
0.3750 0.3750 0.3750
0.3750 0.3750 0.8751
0.3750 0.8751 0.3750
0.8751 0.3750 0.3750
```


(2)
Compound: NaCaIn2Hg
Source: the Alexandria database
Functional: PBE-GGA
Structure: optimized geometry

* total moment: 0.000 μB per formula unit
* total energy: -1.534 eV per atom
* formation energy from the elements: 0.2854 eV/atom
* space group: P4/mmm

```
NaCaIn2Hg
1.0
6.0080 0.0000 0.0000
0.0000 6.0080 0.0000
0.0000 0.0000 5.7958
Na Ca In Hg
1 1 2 1
Direct
0.0000 0.0000 0.0000
0.5000 0.5000 0.5000
0.0000 0.5000 0.5000
0.5000 0.0000 0.5000
0.5000 0.5000 0.0000
```


(3)
Compound: Cs12Rb6F
Source: the Alexandria database
Functional: PBE-GGA
Structure: optimized geometry

* total moment: 0.000 μB per formula unit
* total energy: -1.174 eV per atom
* space group: R-3

```
Cs12Rb6F
1.0
8.6191 4.9762 7.3924
-8.6191 4.9762 7.3924
0.0000 -9.9525 7.3924
Cs Rb F
12 6 1
Direct
0.0312 0.9546 0.2580
0.0454 0.7420 0.9688
0.1317 0.4781 0.3283
0.2580 0.0312 0.9546
0.3283 0.1317 0.4781
0.4781 0.3283 0.1317
0.5219 0.6717 0.8683
0.6717 0.8683 0.5219
0.7420 0.9688 0.0454
0.8683 0.5219 0.6717
0.9546 0.2580 0.0312
0.9688 0.0454 0.7420
0.2276 0.7590 0.5931
0.2410 0.4069 0.7724
0.4069 0.7724 0.2410
0.5931 0.2276 0.7590
0.7590 0.5931 0.2276
0.7724 0.2410 0.4069
0.0000 0.0000 0.0000
```


(4)
Compound: Dy5CSe4
Source: the Alexandria database
Functional: PBE-GGA
Structure: optimized geometry

* total moment: 0.000 μB per formula unit
* total energy: -6.094 eV per atom
* distance to the lowest polymorph of the same formula: 49.0 kJ/mol of formula units
* space group: I4/mmm

```
Dy5CSe4
1.0
-1.9884 1.9884 14.3813
1.9884 -1.9884 14.3813
1.9884 1.9884 -14.3813
Dy C Se
5 1 4
Direct
0.0000 0.0000 0.0000
0.2064 0.2064 0.0000
0.4181 0.4181 0.0000
0.5819 0.5819 0.0000
0.7936 0.7936 0.0000
0.5000 0.5000 0.0000
0.1008 0.1008 0.0000
0.3076 0.3076 0.0000
0.6924 0.6924 0.0000
0.8992 0.8992 0.0000
```


(5)
Compound: Ac3SbAu4
Source: the Alexandria database
Functional: PBE-GGA
Structure: optimized geometry

* total moment: 0.000 μB per formula unit
* total energy: -4.457 eV per atom
* space group: Immm

```
Ac3SbAu4
1.0
-2.2146 3.7473 7.4525
2.2146 -3.7473 7.4525
2.2146 3.7473 -7.4525
Ac Sb Au
3 1 4
Direct
0.0000 0.0000 0.0000
0.3252 0.8252 0.5000
0.6748 0.1748 0.5000
0.5000 0.5000 0.0000
0.0593 0.3677 0.6916
0.3239 0.6323 0.6916
0.6761 0.3677 0.3084
0.9407 0.6323 0.3084
```


(6)
Compound: Na2Ga3AgAu4
Source: the Alexandria database
Functional: PBE-GGA
Structure: optimized geometry

* total moment: 0.000 μB per formula unit
* total energy: -3.016 eV per atom
* formation energy from the elements: -0.2479 eV/atom
* space group: P-4m2

```
Na2Ga3AgAu4
1.0
4.5042 0.0000 0.0000
0.0000 4.5042 0.0000
0.0000 0.0000 10.6992
Na Ga Ag Au
2 3 1 4
Direct
0.0000 0.5000 0.2493
0.5000 0.0000 0.7507
0.0000 0.5000 0.8775
0.5000 0.0000 0.1225
0.5000 0.5000 0.5000
0.0000 0.0000 0.5000
0.0000 0.0000 0.0000
0.0000 0.5000 0.6442
0.5000 0.0000 0.3558
0.5000 0.5000 0.0000
```


(7)
Compound: LaY2C6
Source: the Alexandria database
Functional: PBE-GGA
Structure: optimized geometry

* total moment: 0.000 μB per formula unit
* total energy: -8.306 eV per atom
* formation energy from the elements: -0.1724 eV/atom
* space group: C2/m

```
LaY2C6
1.0
3.6914 -1.8779 0.0000
3.6914 1.8779 0.0000
-1.5343 0.0000 9.7474
La Y C
1 2 6
Direct
0.0000 0.0000 0.0000
0.3324 0.3324 0.3380
0.6676 0.6676 0.6620
0.0705 0.0705 0.4681
0.2646 0.2646 0.8511
0.4012 0.4012 0.7819
0.5988 0.5988 0.2181
0.7354 0.7354 0.1489
0.9295 0.9295 0.5319
```


(8)
Compound: Nb3TeRu
Source: the Alexandria database
Functional: PBE-GGA
Structure: optimized geometry

* total moment: 0.000 μB per formula unit
* total energy: -7.681 eV per atom
* distance to the lowest polymorph of the same formula: 0.0 kJ/mol of formula units
* space group: Pm-3m

```
Nb3TeRu
1.0
4.8579 0.0000 0.0000
0.0000 4.8579 0.0000
0.0000 0.0000 4.8579
Nb Te Ru
3 1 1
Direct
0.0000 0.0000 0.5000
0.0000 0.5000 0.0000
0.5000 0.0000 0.0000
0.5000 0.5000 0.5000
0.0000 0.0000 0.0000
```


(9)
Compound: Sb4IrC2
Source: the Alexandria database
Functional: PBE-GGA
Structure: optimized geometry

* total moment: 0.000 μB per formula unit
* total energy: -5.396 eV per atom
* space group: I4/mmm

```
Sb4IrC2
1.0
-2.5653 2.5653 5.9265
2.5653 -2.5653 5.9265
2.5653 2.5653 -5.9265
Sb Ir C
4 1 2
Direct
0.0000 0.5000 0.5000
0.2462 0.2462 0.0000
0.5000 0.0000 0.5000
0.7538 0.7538 0.0000
0.0000 0.0000 0.0000
0.4442 0.4442 0.0000
0.5558 0.5558 0.0000
```


(10)
Compound: Ta2TlIn
Source: the Alexandria database
Functional: PBE-GGA
Structure: optimized geometry

* total moment: 0.000 μB per formula unit
* total energy: -6.764 eV per atom
* formation energy from the elements: 0.4384 eV/atom
* distance to the lowest polymorph of the same formula: 44.0 kJ/mol of formula units
* space group: P2/m

```
Ta2TlIn
1.0
2.9751 0.0000 0.0000
0.0000 4.7561 0.0000
-1.3263 0.0000 5.7331
Ta Tl In
2 1 1
Direct
0.2369 0.0000 0.2406
0.7631 0.0000 0.7594
0.0000 0.5000 0.5000
0.5000 0.5000 0.0000
```


(11)
Compound: KErCuTe2
Source: the Alexandria database
Functional: PBE-GGA
Structure: optimized geometry

* total moment: 0.000 μB per formula unit
* total energy: -3.956 eV per atom
* space group: P2/c

```
KErCuTe2
1.0
8.3737 0.0000 0.0000
0.0000 4.4491 0.0000
-0.7807 0.0000 8.6865
K Er Cu Te
2 2 2 4
Direct
0.0000 0.1103 0.2500
0.0000 0.8897 0.7500
0.5000 0.4960 0.7500
0.5000 0.5040 0.2500
0.5000 0.0000 0.0000
0.5000 0.0000 0.5000
0.2598 0.3613 0.9806
0.2598 0.6387 0.4806
0.7402 0.3613 0.5194
0.7402 0.6387 0.0194
```


(12)
Compound: Nd8InGa2
Source: the Alexandria database
Functional: PBE-GGA
Structure: optimized geometry

* total moment: 0.000 μB per formula unit
* total energy: -4.546 eV per atom
* formation energy from the elements: -0.2793 eV/atom
* space group: C2/m

```
Nd8InGa2
1.0
8.7923 -2.4928 0.0000
8.7923 2.4928 0.0000
-2.9033 0.0000 7.5742
Nd In Ga
8 1 2
Direct
0.0499 0.0499 0.2397
0.1701 0.1701 0.7564
0.3232 0.3232 0.5523
0.4006 0.4006 0.0453
0.5994 0.5994 0.9547
0.6768 0.6768 0.4477
0.8299 0.8299 0.2436
0.9501 0.9501 0.7603
0.5000 0.5000 0.5000
0.2121 0.2121 0.1664
0.7879 0.7879 0.8336
```